(1)
ScTaMo2 | PBE | optimized geometry

Unit cell a=3.237 b=4.660 c=9.341 alpha=90.00 beta=90.00 gamma=90.00
Space group Imm2 (No. 44)
Inequivalent atoms, fractional coordinates:
Sc 0.000 0.000 0.000 x2
Ta 0.000 0.500 0.771 x2
Mo 0.000 0.000 0.517 x2
Mo 0.000 0.500 0.239 x2

The calculation puts the calculated volume at 140.9 Å³ per cell. For the energy of formation from the pure elements, the calculation gives 0.044 eV per formula unit. The crystal system is orthorhombic. For the total magnetization, the calculation gives 0.000 μB per atom.

(2)
CuIr3 | PBE | optimized geometry

Unit cell a=2.7232 b=2.7232 c=8.7938 alpha=90.00 beta=90.00 gamma=120.00
Space group P-6m2 (No. 187)
Inequivalent atoms, fractional coordinates:
Cu 0.0000 0.0000 0.0000 x1
Ir 0.0000 0.0000 0.5000 x1
Ir 0.3333 0.6667 0.2462 x2

The calculation puts the calculated volume at 56.5 Å³ per cell. For the energy of formation from the pure elements, the calculation gives 0.371 eV per formula unit. The crystal system is hexagonal. For the total magnetization, the calculation gives 0.000 μB per atom.

(3)
Dy4CdRu2Pt | PBE | optimized geometry

Unit cell a=4.9391 b=4.9391 c=24.3142 alpha=90.00 beta=90.00 gamma=120.00
Space group R-3m (No. 166, hexagonal axes)
Inequivalent atoms, fractional coordinates:
Dy 0.0000 0.0000 0.1205 x6
Dy 0.0000 0.0000 0.3717 x6
Cd 0.0000 0.0000 0.5000 x3
Ru 0.0000 0.0000 0.2487 x6
Pt 0.0000 0.0000 0.0000 x3

The calculation puts the calculated volume at 513.7 Å³ per cell. For the energy of formation from the pure elements, the calculation gives -4.466 eV per formula unit. The crystal system is trigonal. For the total magnetization, the calculation gives 0.000 μB per atom.